{
  "formula": "NbHgC2",
  "functional": "PBE",
  "state": "relaxed",
  "lattice_angstrom": [[-2.579, 2.579, 4.841], [2.579, -2.579, 4.841], [2.579, 2.579, -4.841]],
  "species": ["Nb", "Nb", "Hg", "Hg", "C", "C", "C", "C"],
  "frac_coords": [[0.000, 0.000, 0.000], [0.750, 0.250, 0.500], [0.250, 0.750, 0.500], [0.500, 0.500, 0.000], [0.081, 0.625, 0.956], [0.375, 0.331, 0.456], [0.669, 0.125, 0.044], [0.875, 0.919, 0.544]],
  "dos_at_fermi_per_ev_fu": 2.1,
  "e_form_ev_per_fu": 4.09,
  "crystal_system": "tetragonal",
  "magnetic_moment_mub_per_atom": 0.00
}

---

{
  "formula": "MnAgBi2",
  "functional": "PBE",
  "state": "relaxed",
  "lattice_angstrom": [[0.000, 3.529, 3.529], [3.529, 0.000, 3.529], [3.529, 3.529, 0.000]],
  "species": ["Mn", "Ag", "Bi", "Bi"],
  "frac_coords": [[0.000, 0.000, 0.000], [0.500, 0.500, 0.500], [0.250, 0.250, 0.250], [0.750, 0.750, 0.750]],
  "dos_at_fermi_per_ev_fu": 8.9,
  "e_form_ev_per_fu": 2.76,
  "de_polymorph_ev_per_fu": 1.25,
  "crystal_system": "cubic",
  "magnetic_moment_mub_per_atom": 0.11
}

---

{
  "formula": "CsLaSc2V",
  "functional": "PBE",
  "state": "relaxed",
  "lattice_angstrom": [[5.191, 0.000, 0.000], [0.000, 5.191, 0.000], [0.000, 0.000, 5.956]],
  "species": ["Cs", "La", "Sc", "Sc", "V"],
  "frac_coords": [[0.000, 0.000, 0.000], [0.500, 0.500, 0.000], [0.000, 0.500, 0.500], [0.500, 0.000, 0.500], [0.000, 0.000, 0.500]],
  "dos_at_fermi_per_ev_fu": 5.8,
  "e_form_ev_per_fu": 4.86,
  "crystal_system": "tetragonal",
  "magnetic_moment_mub_per_atom": 0.30
}

---

{
  "formula": "K2ZrOs",
  "functional": "PBE",
  "state": "relaxed",
  "lattice_angstrom": [[-1.767, 3.157, 6.297], [1.767, -3.157, 6.297], [1.767, 3.157, -6.297]],
  "species": ["K", "K", "Zr", "Os"],
  "frac_coords": [[0.000, 0.000, 0.000], [0.691, 0.191, 0.500], [0.370, 0.370, 0.000], [0.236, 0.736, 0.500]],
  "dos_at_fermi_per_ev_fu": 4.1,
  "e_form_ev_per_fu": 3.04,
  "de_polymorph_ev_per_fu": 1.35,
  "crystal_system": "orthorhombic",
  "magnetic_moment_mub_per_atom": 0.00
}

---

{
  "formula": "K4CrS4",
  "functional": "PBE",
  "state": "relaxed",
  "lattice_angstrom": [[8.839, 0.000, 0.000], [0.000, 8.839, 0.000], [0.000, 0.000, 6.824]],
  "species": ["K", "K", "K", "K", "K", "K", "K", "K", "Cr", "Cr", "S", "S", "S", "S", "S", "S", "S", "S"],
  "frac_coords": [[0.026, 0.250, 0.099], [0.250, 0.026, 0.599], [0.250, 0.474, 0.599], [0.474, 0.250, 0.099], [0.526, 0.750, 0.901], [0.750, 0.526, 0.401], [0.750, 0.974, 0.401], [0.974, 0.750, 0.901], [0.250, 0.750, 0.250], [0.750, 0.250, 0.750], [0.043, 0.750, 0.431], [0.250, 0.543, 0.069], [0.250, 0.957, 0.069], [0.457, 0.750, 0.431], [0.543, 0.250, 0.569], [0.750, 0.043, 0.931], [0.750, 0.457, 0.931], [0.957, 0.250, 0.569]],
  "de_polymorph_ev_per_fu": 0.00,
  "crystal_system": "tetragonal",
  "magnetic_moment_mub_per_atom": 0.22,
  "e_form_raw_kcal_per_mol_atoms": -24.0
}

---

{
  "formula": "AlInSn",
  "functional": "PBE",
  "state": "relaxed",
  "lattice_angstrom": [[6.445, -2.054, 0.000], [6.445, 2.054, 0.000], [-1.517, 0.000, 5.647]],
  "species": ["Al", "Al", "In", "In", "Sn", "Sn"],
  "frac_coords": [[0.217, 0.217, 0.346], [0.783, 0.783, 0.654], [0.148, 0.148, 0.827], [0.852, 0.852, 0.173], [0.450, 0.450, 0.718], [0.550, 0.550, 0.282]],
  "dos_at_fermi_per_ev_fu": 1.8,
  "e_form_ev_per_fu": 0.34,
  "crystal_system": "monoclinic",
  "magnetic_moment_mub_per_atom": 0.00
}

---

{
  "formula": "Er2ZnTe4",
  "functional": "PBE",
  "state": "relaxed",
  "lattice_angstrom": [[-3.358, 3.358, 6.229], [3.358, -3.358, 6.229], [3.358, 3.358, -6.229]],
  "species": ["Er", "Er", "Zn", "Te", "Te", "Te", "Te"],
  "frac_coords": [[0.250, 0.750, 0.500], [0.750, 0.250, 0.500], [0.000, 0.000, 0.000], [0.134, 0.644, 0.000], [0.356, 0.356, 0.489], [0.644, 0.134, 0.000], [0.866, 0.866, 0.511]],
  "dos_at_fermi_per_ev_fu": 0.0,
  "crystal_system": "tetragonal",
  "magnetic_moment_mub_per_atom": 0.00,
  "e_form_raw_kcal_per_mol_atoms": -19.8
}

---

{
  "formula": "Ho4ThGa15",
  "functional": "PBE",
  "state": "relaxed",
  "lattice_angstrom": [[4.283, 0.000, 0.000], [0.000, 4.283, 0.000], [0.000, 0.000, 21.628]],
  "species": ["Ho", "Ho", "Ho", "Ho", "Th", "Ga", "Ga", "Ga", "Ga", "Ga", "Ga", "Ga", "Ga", "Ga", "Ga", "Ga", "Ga", "Ga", "Ga", "Ga"],
  "frac_coords": [[0.000, 0.000, 0.098], [0.000, 0.000, 0.295], [0.000, 0.000, 0.705], [0.000, 0.000, 0.902], [0.000, 0.000, 0.500], [0.000, 0.500, 0.000], [0.000, 0.500, 0.197], [0.000, 0.500, 0.394], [0.000, 0.500, 0.606], [0.000, 0.500, 0.803], [0.500, 0.000, 0.000], [0.500, 0.000, 0.197], [0.500, 0.000, 0.394], [0.500, 0.000, 0.606], [0.500, 0.000, 0.803], [0.500, 0.500, 0.099], [0.500, 0.500, 0.297], [0.500, 0.500, 0.500], [0.500, 0.500, 0.703], [0.500, 0.500, 0.901]],
  "dos_at_fermi_per_ev_fu": 8.0,
  "e_form_ev_per_fu": -10.46,
  "crystal_system": "tetragonal",
  "magnetic_moment_mub_per_atom": 0.00
}

---

{
  "formula": "Dy2Be3Au9",
  "functional": "PBE",
  "state": "relaxed",
  "lattice_angstrom": [[6.778, -3.887, 0.000], [6.778, 3.887, 0.000], [-4.502, 0.000, 9.283]],
  "species": ["Dy", "Dy", "Dy", "Dy", "Be", "Be", "Be", "Be", "Be", "Be", "Au", "Au", "Au", "Au", "Au", "Au", "Au", "Au", "Au", "Au", "Au", "Au", "Au", "Au", "Au", "Au", "Au", "Au"],
  "frac_coords": [[0.088, 0.254, 0.248], [0.254, 0.088, 0.748], [0.746, 0.912, 0.252], [0.912, 0.746, 0.752], [0.000, 0.500, 0.000], [0.138, 0.681, 0.502], [0.319, 0.862, 0.998], [0.500, 0.000, 0.500], [0.681, 0.138, 0.002], [0.862, 0.319, 0.498], [0.011, 0.869, 0.075], [0.131, 0.989, 0.425], [0.190, 0.357, 0.568], [0.190, 0.583, 0.259], [0.301, 0.489, 0.943], [0.341, 0.659, 0.750], [0.357, 0.190, 0.068], [0.417, 0.810, 0.241], [0.489, 0.301, 0.443], [0.511, 0.699, 0.557], [0.583, 0.190, 0.759], [0.643, 0.810, 0.932], [0.659, 0.341, 0.250], [0.699, 0.511, 0.057], [0.810, 0.417, 0.741], [0.810, 0.643, 0.432], [0.869, 0.011, 0.575], [0.989, 0.131, 0.925]],
  "dos_at_fermi_per_ev_fu": 4.7,
  "e_form_ev_per_fu": -6.22,
  "crystal_system": "monoclinic",
  "magnetic_moment_mub_per_atom": 0.00
}

---

{
  "formula": "B2C",
  "functional": "PBE",
  "state": "relaxed",
  "lattice_angstrom": [[-1.377, 1.377, 5.792], [1.377, -1.377, 5.792], [1.377, 1.377, -5.792]],
  "species": ["B", "B", "B", "B", "C", "C"],
  "frac_coords": [[0.000, 0.000, 0.000], [0.250, 0.750, 0.500], [0.357, 0.357, 0.000], [0.643, 0.643, 0.000], [0.580, 0.080, 0.500], [0.920, 0.420, 0.500]],
  "dos_at_fermi_per_ev_fu": 0.6,
  "e_form_ev_per_fu": 1.51,
  "de_polymorph_ev_per_fu": 0.95,
  "crystal_system": "tetragonal",
  "magnetic_moment_mub_per_atom": 0.00
}

---

{
  "formula": "In2AsPt",
  "functional": "PBE",
  "state": "relaxed",
  "lattice_angstrom": [[-3.142, 3.142, 5.917], [3.142, -3.142, 5.917], [3.142, 3.142, -5.917]],
  "species": ["In", "In", "In", "In", "As", "As", "Pt", "Pt"],
  "frac_coords": [[0.120, 0.625, 0.995], [0.375, 0.370, 0.495], [0.630, 0.125, 0.005], [0.875, 0.880, 0.505], [0.250, 0.750, 0.500], [0.500, 0.500, 0.000], [0.000, 0.000, 0.000], [0.750, 0.250, 0.500]],
  "dos_at_fermi_per_ev_fu": 2.7,
  "e_form_ev_per_fu": 0.04,
  "crystal_system": "tetragonal",
  "magnetic_moment_mub_per_atom": 0.00
}

---

{
  "formula": "PmInPd3",
  "functional": "PBE",
  "state": "relaxed",
  "lattice_angstrom": [[-2.811, 3.935, 4.611], [2.811, -3.935, 4.611], [2.811, 3.935, -4.611]],
  "species": ["Pm", "Pm", "In", "In", "Pd", "Pd", "Pd", "Pd", "Pd", "Pd"],
  "frac_coords": [[0.254, 0.004, 0.250], [0.746, 0.996, 0.750], [0.000, 0.500, 0.500], [0.500, 0.500, 0.000], [0.054, 0.304, 0.750], [0.310, 0.000, 0.810], [0.310, 0.500, 0.310], [0.690, 0.000, 0.190], [0.690, 0.500, 0.690], [0.946, 0.696, 0.250]],
  "dos_at_fermi_per_ev_fu": 1.8,
  "e_form_ev_per_fu": -3.00,
  "crystal_system": "orthorhombic",
  "magnetic_moment_mub_per_atom": 0.00
}